[1]
{
  "formula": "ScCuHPd2",
  "functional": "PBE-GGA",
  "state": "relaxed",
  "spacegroup": "P4/mmm, No. 123",
  "e_above_lowest_polymorph_mev_per_atom": 0,
  "crystal_system": "tetragonal",
  "magnetic_moment_mub_per_cell": 0.00,
  "lattice": [[4.001, 0.000, 0.000], [0.000, 4.001, 0.000], [0.000, 0.000, 4.095]],
  "species": ["Sc", "Cu", "H", "Pd", "Pd"],
  "frac_coords": [[0.000, 0.000, 0.000], [0.500, 0.500, 0.000], [0.000, 0.000, 0.500], [0.000, 0.500, 0.500], [0.500, 0.000, 0.500]]
}

---

[2]
{
  "formula": "Sc2CuHPd",
  "functional": "PBE-GGA",
  "state": "relaxed",
  "spacegroup": "P4/mmm, No. 123",
  "e_above_lowest_polymorph_mev_per_atom": 51,
  "crystal_system": "tetragonal",
  "magnetic_moment_mub_per_cell": 0.00,
  "lattice": [[4.557, 0.000, 0.000], [0.000, 4.557, 0.000], [0.000, 0.000, 3.597]],
  "species": ["Sc", "Sc", "Cu", "H", "Pd"],
  "frac_coords": [[0.000, 0.500, 0.000], [0.500, 0.000, 0.000], [0.000, 0.000, 0.500], [0.500, 0.500, 0.000], [0.500, 0.500, 0.500]]
}

---

[3]
{
  "formula": "CuH2PdSe",
  "functional": "PBE-GGA",
  "state": "relaxed",
  "spacegroup": "P4/mmm, No. 123",
  "dft_energy_ev_per_atom": -3.582,
  "crystal_system": "tetragonal",
  "magnetic_moment_mub_per_cell": 0.00,
  "lattice": [[3.525, 0.000, 0.000], [0.000, 3.525, 0.000], [0.000, 0.000, 5.224]],
  "species": ["Cu", "H", "H", "Pd", "Se"],
  "frac_coords": [[0.000, 0.000, 0.000], [0.000, 0.500, 0.000], [0.500, 0.000, 0.000], [0.500, 0.500, 0.500], [0.000, 0.000, 0.500]]
}

---

[4]
{
  "formula": "SmCuH4Pd2",
  "functional": "PBE-GGA",
  "state": "relaxed",
  "spacegroup": "I222, No. 23",
  "dft_energy_ev_per_atom": -4.418,
  "crystal_system": "orthorhombic",
  "magnetic_moment_mub_per_cell": 0.00,
  "lattice": [[-2.558, 2.576, 3.226], [2.558, -2.576, 3.226], [2.558, 2.576, -3.226]],
  "species": ["Sm", "Cu", "H", "H", "H", "H", "Pd", "Pd"],
  "frac_coords": [[0.000, 0.000, 0.000], [0.500, 0.500, 0.000], [0.132, 0.501, 0.000], [0.499, 0.499, 0.631], [0.501, 0.132, 0.000], [0.868, 0.868, 0.369], [0.253, 0.753, 0.500], [0.747, 0.247, 0.500]]
}

---

[5]
{
  "formula": "Sr2CuHPd",
  "functional": "PBE-GGA",
  "state": "relaxed",
  "spacegroup": "P4/mmm, No. 123",
  "e_above_lowest_polymorph_mev_per_atom": 0,
  "crystal_system": "tetragonal",
  "magnetic_moment_mub_per_cell": 0.00,
  "lattice": [[5.423, 0.000, 0.000], [0.000, 5.423, 0.000], [0.000, 0.000, 3.700]],
  "species": ["Sr", "Sr", "Cu", "H", "Pd"],
  "frac_coords": [[0.000, 0.500, 0.000], [0.500, 0.000, 0.000], [0.000, 0.000, 0.500], [0.500, 0.500, 0.000], [0.500, 0.500, 0.500]]
}

---

[6]
{
  "formula": "SrCuH6Pd",
  "functional": "PBE-GGA",
  "state": "relaxed",
  "spacegroup": "P-6m2, No. 187",
  "dft_energy_ev_per_atom": -3.698,
  "crystal_system": "hexagonal",
  "magnetic_moment_mub_per_cell": 0.00,
  "lattice": [[4.727, 0.000, 0.000], [-2.363, 4.093, 0.000], [0.000, 0.000, 4.607]],
  "species": ["Sr", "Cu", "H", "H", "H", "H", "H", "H", "Pd"],
  "frac_coords": [[0.000, 0.000, 0.000], [0.333, 0.667, 0.500], [0.006, 0.503, 0.265], [0.006, 0.503, 0.735], [0.497, 0.503, 0.265], [0.497, 0.503, 0.735], [0.497, 0.994, 0.265], [0.497, 0.994, 0.735], [0.667, 0.333, 0.500]]
}